NaFeO2 | PBE with a Hubbard U | relaxed

```
NaFeO2
1.0
0.000 2.686 2.686
2.686 0.000 2.686
2.686 2.686 0.000
Na Fe O
1 1 2
direct
0.000 0.000 0.000
0.500 0.500 0.500
0.250 0.250 0.250
0.750 0.750 0.750
```

Results
**N(E_F)**: 0.00 states/eV/cell
**Size of the total moment**: 5.0 μB/f.u.
**Final energy**: -5.077 eV per atom
**Space group**: No. 225
**Crystal system**: cubic